No. 1
{"formula": "KNaP", "functional": "GGA-PBE", "state": "optimized geometry", "cell": [[4.939, 0.000, 0.000], [0.000, 6.676, -1.074], [0.000, -1.657, 6.556]], "species": ["Na", "K", "P", "K", "P", "Na"], "frac_coords": [[0.500, 0.500, 0.500], [0.500, 0.226, 0.774], [0.000, 0.349, 0.349], [0.500, 0.774, 0.226], [0.000, 0.651, 0.651], [0.000, 0.000, 0.000]], "space_group": "Cmmm", "vol_a3_per_atom": 34.56, "m_tot_mub_per_fu": 0.00, "de_polymorph_mev_per_atom": 286}

No. 2
{"formula": "KNaPPd2", "functional": "GGA-PBE", "state": "optimized geometry", "cell": [[-2.411, 2.759, -2.883], [-1.429, -3.742, -2.385], [-4.225, -0.397, 3.155]], "species": ["Pd", "Na", "P", "Pd", "K"], "frac_coords": [[0.500, 0.000, 0.000], [0.000, 0.000, 0.500], [0.000, 0.000, 0.000], [0.000, 0.500, 0.000], [0.500, 0.500, 0.500]], "space_group": "P4/mmm", "vol_a3_per_atom": 22.99, "m_tot_mub_per_fu": 0.00}

No. 3
{"formula": "KNa2PPd", "functional": "GGA-PBE", "state": "optimized geometry", "cell": [[5.508, 0.000, 0.000], [0.000, 5.508, 0.000], [0.000, 0.000, 4.572]], "species": ["K", "Pd", "Na", "Na", "P"], "frac_coords": [[0.500, 0.500, 0.500], [0.000, 0.000, 0.000], [0.000, 0.500, 0.000], [0.500, 0.000, 0.000], [0.000, 0.000, 0.500]], "space_group": "P4/mmm", "vol_a3_per_atom": 27.74, "m_tot_mub_per_fu": 0.09, "de_polymorph_mev_per_atom": 30}

No. 4
{"formula": "KNa2PPd", "functional": "GGA-PBE", "state": "optimized geometry", "cell": [[-2.824, 1.168, -4.521], [-4.632, -0.031, 2.885], [0.504, 4.535, 0.857]], "species": ["Na", "K", "Pd", "P", "Na"], "frac_coords": [[0.000, 0.500, 0.000], [0.500, 0.500, 0.500], [0.000, 0.000, 0.500], [0.000, 0.000, 0.000], [0.500, 0.000, 0.000]], "space_group": "P4/mmm", "vol_a3_per_atom": 27.66, "m_tot_mub_per_fu": 0.00, "de_polymorph_mev_per_atom": 0}

No. 5
{"formula": "KNa2PPd2", "functional": "GGA-PBE", "state": "optimized geometry", "cell": [[4.725, 0.000, 0.000], [0.000, 4.725, 0.000], [0.000, 0.000, 6.803]], "species": ["K", "Pd", "Na", "Na", "P", "Pd"], "frac_coords": [[0.000, 0.000, 0.500], [0.500, 0.000, 0.000], [0.500, 0.500, 0.764], [0.500, 0.500, 0.236], [0.000, 0.000, 0.000], [0.000, 0.500, 0.000]], "space_group": "P4/mmm", "vol_a3_per_atom": 25.32, "m_tot_mub_per_fu": 0.00}

No. 6
{"formula": "KNaPPt", "functional": "GGA-PBE", "state": "optimized geometry", "cell": [[4.424, 0.000, 0.000], [0.000, 5.423, 0.000], [0.000, -2.712, 4.716]], "species": ["K", "Na", "Pt", "P"], "frac_coords": [[0.500, 0.274, 0.548], [0.000, 0.942, 0.884], [0.500, 0.607, 0.213], [0.000, 0.608, 0.215]], "space_group": "Amm2", "vol_a3_per_atom": 28.29, "m_tot_mub_per_fu": 0.00}

Number 1: E_form 0.033 eV per atom. Number 2: E_form -0.283 eV per atom. Number 3: E_form -0.220 eV per atom. Number 4: E_form -0.250 eV per atom. Number 5: E_form -0.279 eV per atom. Number 6: E_form -0.464 eV per atom.